Record 1
# YScGa4 GGA-PBE relaxed
# E in eV per atom: -4.73
# ΔE to the lowest computed polymorph in kJ/mol of atoms: 0.0
# Formation energy from the elements in meV/atom: -579
# Fermi-level density of states in states/eV/f.u.: 2.69
data_YScGa4
_chemical_formula_sum 'Y2 Sc2 Ga8'
_symmetry_space_group_name_H-M 'I m m m'
_symmetry_Int_Tables_number 71
_symmetry_space_group_name_Hall '-I 2 2'
_cell_length_a 4.344
_cell_length_b 6.998
_cell_length_c 7.581
_cell_angle_alpha 90.00
_cell_angle_beta 90.00
_cell_angle_gamma 90.00
loop_
_atom_site_label
_atom_site_fract_x
_atom_site_fract_y
_atom_site_fract_z
Y1 0.000 0.000 0.000
Sc1 0.000 0.500 0.000
Ga1 0.000 0.235 0.334

---

Record 2
# Y2Sc3Ga2 GGA-PBE relaxed
# E in eV per atom: -5.79
# Formation energy from the elements in meV/atom: -364
# Fermi-level density of states in states/eV/f.u.: 11.21
data_Y2Sc3Ga2
_chemical_formula_sum 'Y4 Sc6 Ga4'
_symmetry_space_group_name_H-M 'C 1 2/m 1'
_symmetry_Int_Tables_number 12
_cell_length_a 11.118
_cell_length_b 4.227
_cell_length_c 7.827
_cell_angle_alpha 90.00
_cell_angle_beta 111.03
_cell_angle_gamma 90.00
loop_
_symmetry_equiv_pos_as_xyz
'x,y,z'
'-x,-y,-z'
'-x,y,-z'
'x,-y,z'
'x+1/2,y+1/2,z'
'-x+1/2,-y+1/2,-z'
'-x+1/2,y+1/2,-z'
'x+1/2,-y+1/2,z'
loop_
_atom_site_label
_atom_site_fract_x
_atom_site_fract_y
_atom_site_fract_z
Y1 0.142 0.000 0.292
Sc1 0.000 0.500 0.500
Sc2 0.128 0.500 0.937
Ga1 0.162 0.000 0.712